1.
The following is a DFT calculation (GGA-PBE) of SrLaSn6 after structural relaxation.

Its total magnetization is 0.0 Bohr magnetons per cell. As for the volume: 28.3 Å³/atom. Its final energy is -4.313 eV per atom. The formation energy is -3.87 eV per formula unit.

It has space group P4/mmm (No. 123), with a = 4.814 Å, b = 4.814 Å, c = 9.764 Å, α = 90.00°, β = 90.00° and γ = 90.00°. The inequivalent atoms are Sr at (0.000, 0.000, 0.000), La at (0.000, 0.000, 0.500), Sn at (0.000, 0.500, 0.251), Sn at (0.500, 0.500, 0.000) and Sn at (0.500, 0.500, 0.500).

---

2.
The following is a DFT calculation (GGA-PBE) of SrLaSn4 after structural relaxation.

Its total magnetization is 0.0 Bohr magnetons per cell. As for the volume: 30.0 Å³/atom. Its final energy is -4.223 eV per atom. The formation energy is -2.71 eV per formula unit.

It has space group F-43m (No. 216), with a = 8.962 Å, b = 8.962 Å, c = 8.962 Å, α = 90.00°, β = 90.00° and γ = 90.00°. The inequivalent atoms are Sr at (0.000, 0.000, 0.000), La at (0.250, 0.250, 0.750) and Sn at (0.125, 0.125, 0.375).

---

3.
The following is a DFT calculation (GGA-PBE) of SrLaSn after structural relaxation.

Its total magnetization is 0.0 Bohr magnetons per cell. The calculation puts the relative energy among the computed polymorphs at 145 meV/atom. As for the volume: 34.7 Å³/atom. Its final energy is -3.890 eV per atom. The formation energy is -1.06 eV per formula unit.

It has space group P3m1 (No. 156), with a = 5.3724 Å, b = 5.3724 Å, c = 4.1671 Å, α = 90.00°, β = 90.00° and γ = 120.00°. The inequivalent atoms are Sr at (0.0000, 0.0000, 0.0000), La at (0.3333, 0.6667, 0.4243) and Sn at (0.6667, 0.3333, 0.6888).

---

4.
The following is a DFT calculation (GGA-PBE) of SrLaSn3 after structural relaxation.

Its total magnetization is 0.0 Bohr magnetons per cell. The calculation puts the relative energy among the computed polymorphs at 0 meV/atom. As for the volume: 42.2 Å³/atom. Its final energy is -3.638 eV per atom. The formation energy is 0.43 eV per formula unit.

It has space group Pm-3m (No. 221), with a = 5.954 Å, b = 5.954 Å, c = 5.954 Å, α = 90.00°, β = 90.00° and γ = 90.00°. The inequivalent atoms are Sr at (0.000, 0.000, 0.000), La at (0.500, 0.500, 0.500) and Sn at (0.000, 0.500, 0.500).

---

5.
The following is a DFT calculation (GGA-PBE) of Sr3LaSn after structural relaxation.

Its total magnetization is 0.0 Bohr magnetons per cell. As for the volume: 45.4 Å³/atom. Its final energy is -2.035 eV per atom. The formation energy is 3.80 eV per formula unit.

It has space group Pm-3m (No. 221), with a = 6.100 Å, b = 6.100 Å, c = 6.100 Å, α = 90.00°, β = 90.00° and γ = 90.00°. The inequivalent atoms are Sr at (0.000, 0.000, 0.500), La at (0.000, 0.000, 0.000) and Sn at (0.500, 0.500, 0.500).

---

6.
The following is a DFT calculation (GGA-PBE) of SrLaSn after structural relaxation.

Its total magnetization is 0.0 Bohr magnetons per cell. The calculation puts the relative energy among the computed polymorphs at 23 meV/atom. As for the volume: 39.6 Å³/atom. Its final energy is -4.012 eV per atom. The formation energy is -1.42 eV per formula unit.

It has space group F-43m (No. 216), with a = 7.801 Å, b = 7.801 Å, c = 7.801 Å, α = 90.00°, β = 90.00° and γ = 90.00°. The inequivalent atoms are Sr at (0.000, 0.000, 0.000), La at (0.000, 0.000, 0.500) and Sn at (0.250, 0.250, 0.250).

---

7.
The following is a DFT calculation (GGA-PBE) of SrLa3Sn2 after structural relaxation.

Its total magnetization is 3.2 Bohr magnetons per cell. As for the volume: 35.2 Å³/atom. Its final energy is -4.586 eV per atom. The formation energy is -3.04 eV per formula unit.

It has space group C2/m (No. 12), with a = 19.126 Å, b = 4.868 Å, c = 10.005 Å, α = 90.00°, β = 114.77° and γ = 90.00°. The inequivalent atoms are Sr at (0.112, 0.000, 0.128), La at (0.051, 0.000, 0.681), La at (0.150, 0.500, 0.480), La at (0.195, 0.500, 0.898), Sn at (0.008, 0.500, 0.850) and Sn at (0.239, 0.000, 0.714).

---

8.
The following is a DFT calculation (GGA-PBE) of SrLa3Sn after structural relaxation.

Its total magnetization is 0.0 Bohr magnetons per cell. The calculation puts the relative energy among the computed polymorphs at 735 meV/atom. As for the volume: 38.7 Å³/atom. Its final energy is -3.335 eV per atom. The formation energy is 3.79 eV per formula unit.

It has space group Pm-3m (No. 221), with a = 5.785 Å, b = 5.785 Å, c = 5.785 Å, α = 90.00°, β = 90.00° and γ = 90.00°. The inequivalent atoms are Sr at (0.000, 0.000, 0.000), La at (0.000, 0.000, 0.500) and Sn at (0.500, 0.500, 0.500).

---

9.
The following is a DFT calculation (GGA-PBE) of Sr3La3Sn4 after structural relaxation.

Its total magnetization is 1.2 Bohr magnetons per cell. As for the volume: 34.9 Å³/atom. Its final energy is -4.251 eV per atom. The formation energy is -6.67 eV per formula unit.

It has space group Amm2 (No. 38), with a = 4.768 Å, b = 12.027 Å, c = 12.180 Å, α = 90.00°, β = 90.00° and γ = 90.00°. The inequivalent atoms are Sr at (0.000, 0.000, 0.000), Sr at (0.500, 0.248, 0.076), La at (0.000, 0.000, 0.656), La at (0.000, 0.173, 0.329), Sn at (0.500, 0.000, 0.214), Sn at (0.500, 0.000, 0.453) and Sn at (0.500, 0.124, 0.821).

---

10.
The following is a DFT calculation (GGA-PBE) of SrLaSn after structural relaxation.

Its total magnetization is 0.0 Bohr magnetons per cell. The calculation puts the relative energy among the computed polymorphs at 754 meV/atom. As for the volume: 40.1 Å³/atom. Its final energy is -3.281 eV per atom. The formation energy is 0.77 eV per formula unit.

It has space group I4mm (No. 107), with a = 3.505 Å, b = 3.505 Å, c = 19.578 Å, α = 90.00°, β = 90.00° and γ = 90.00°. The inequivalent atoms are Sr at (0.000, 0.000, 0.000), La at (0.000, 0.000, 0.665) and Sn at (0.000, 0.000, 0.829).

---

11.
The following is a DFT calculation (GGA-PBE) of SrLa2Sn9 after structural relaxation.

Its total magnetization is 0.0 Bohr magnetons per cell. As for the volume: 28.1 Å³/atom. Its final energy is -4.478 eV per atom. The formation energy is -6.17 eV per formula unit.

It has space group P4/mmm (No. 123), with a = 4.838 Å, b = 4.838 Å, c = 14.416 Å, α = 90.00°, β = 90.00° and γ = 90.00°. The inequivalent atoms are Sr at (0.000, 0.000, 0.000), La at (0.000, 0.000, 0.337), Sn at (0.000, 0.500, 0.168), Sn at (0.000, 0.500, 0.500), Sn at (0.500, 0.500, 0.000) and Sn at (0.500, 0.500, 0.334).

---

12.
The following is a DFT calculation (GGA-PBE) of SrLa2Sn after structural relaxation.

Its total magnetization is 5.7 Bohr magnetons per cell. As for the volume: 44.9 Å³/atom. Its final energy is -4.069 eV per atom. The formation energy is -0.74 eV per formula unit.

It has space group R3m (No. 160, hexagonal axes), with a = 4.5193 Å, b = 4.5193 Å, c = 30.4423 Å, α = 90.00°, β = 90.00° and γ = 120.00°. The inequivalent atoms are Sr at (0.0000, 0.0000, 0.0000), La at (0.0000, 0.0000, 0.2273), La at (0.0000, 0.0000, 0.4421) and Sn at (0.0000, 0.0000, 0.8354).

---

13.
The following is a DFT calculation (GGA-PBE) of SrLa4Sn4 after structural relaxation.

Its total magnetization is 0.0 Bohr magnetons per cell. As for the volume: 39.7 Å³/atom. Its final energy is -4.689 eV per atom. The formation energy is -4.80 eV per formula unit.

It has space group P4_2/n (No. 86, origin choice 2), with a = 10.467 Å, b = 10.467 Å, c = 6.518 Å, α = 90.00°, β = 90.00° and γ = 90.00°. The inequivalent atoms are Sr at (0.250, 0.250, 0.250), La at (0.100, 0.641, 0.134) and Sn at (0.043, 0.603, 0.642).

---

14.
The following is a DFT calculation (GGA-PBE) of SrLa3Sn after structural relaxation.

Its total magnetization is 2.2 Bohr magnetons per cell. The calculation puts the relative energy among the computed polymorphs at 0 meV/atom. As for the volume: 48.1 Å³/atom. Its final energy is -4.071 eV per atom. The formation energy is 0.11 eV per formula unit.

It has space group Pm-3m (No. 221), with a = 6.217 Å, b = 6.217 Å, c = 6.217 Å, α = 90.00°, β = 90.00° and γ = 90.00°. The inequivalent atoms are Sr at (0.000, 0.000, 0.000), La at (0.000, 0.500, 0.500) and Sn at (0.500, 0.500, 0.500).

---

15.
The following is a DFT calculation (GGA-PBE) of SrLa2Sn after structural relaxation.

Its total magnetization is 0.0 Bohr magnetons per cell. As for the volume: 33.8 Å³/atom. Its final energy is -4.239 eV per atom. The formation energy is -1.42 eV per formula unit.

It has space group P4/mmm (No. 123), with a = 5.135 Å, b = 5.135 Å, c = 5.123 Å, α = 90.00°, β = 90.00° and γ = 90.00°. The inequivalent atoms are Sr at (0.000, 0.000, 0.000), La at (0.000, 0.500, 0.500) and Sn at (0.500, 0.500, 0.000).

---

16.
The following is a DFT calculation (GGA-PBE) of Sr2LaSnW after structural relaxation.

Its total magnetization is 5.2 Bohr magnetons per cell. As for the volume: 60.8 Å³/atom. Its final energy is -3.751 eV per atom. The formation energy is 6.49 eV per formula unit.

It has space group P4/mmm (No. 123), with a = 6.780 Å, b = 6.780 Å, c = 6.613 Å, α = 90.00°, β = 90.00° and γ = 90.00°. The inequivalent atoms are Sr at (0.000, 0.500, 0.000), La at (0.000, 0.000, 0.500), Sn at (0.000, 0.000, 0.000) and W at (0.500, 0.500, 0.500).

---

17.
The following is a DFT calculation (GGA-PBE) of LaTa2Sn after structural relaxation.

Its total magnetization is 0.0 Bohr magnetons per cell. As for the volume: 25.6 Å³/atom. Its final energy is -7.330 eV per atom. The formation energy is 3.32 eV per formula unit.

It has space group I-42d (No. 122), with a = 8.314 Å, b = 8.314 Å, c = 5.924 Å, α = 90.00°, β = 90.00° and γ = 90.00°. The inequivalent atoms are La at (0.000, 0.000, 0.000), Ta at (0.208, 0.250, 0.625) and Sn at (0.000, 0.000, 0.500).

---

18.
The following is a DFT calculation (GGA-PBE) of LaTaSn3 after structural relaxation.

Its total magnetization is 0.0 Bohr magnetons per cell. As for the volume: 30.4 Å³/atom. Its final energy is -5.747 eV per atom. The formation energy is 0.05 eV per formula unit.

It has space group Pm-3m (No. 221), with a = 5.338 Å, b = 5.338 Å, c = 5.338 Å, α = 90.00°, β = 90.00° and γ = 90.00°. The inequivalent atoms are La at (0.000, 0.000, 0.000), Ta at (0.500, 0.500, 0.500) and Sn at (0.000, 0.500, 0.500).

---

19.
The following is a DFT calculation (GGA-PBE) of LaTa3Sn after structural relaxation.

Its total magnetization is 0.0 Bohr magnetons per cell. The calculation puts the relative energy among the computed polymorphs at 636 meV/atom. As for the volume: 24.8 Å³/atom. Its final energy is -6.781 eV per atom. The formation energy is 10.58 eV per formula unit.

It has space group Pm-3m (No. 221), with a = 4.990 Å, b = 4.990 Å, c = 4.990 Å, α = 90.00°, β = 90.00° and γ = 90.00°. The inequivalent atoms are La at (0.000, 0.000, 0.000), Ta at (0.000, 0.000, 0.500) and Sn at (0.500, 0.500, 0.500).

---

20.
The following is a DFT calculation (GGA-PBE) of LaTa3Sn after structural relaxation.

Its total magnetization is 0.0 Bohr magnetons per cell. The calculation puts the relative energy among the computed polymorphs at 0 meV/atom. As for the volume: 27.3 Å³/atom. Its final energy is -7.417 eV per atom. The formation energy is 7.40 eV per formula unit.

It has space group Pm-3m (No. 221), with a = 5.149 Å, b = 5.149 Å, c = 5.149 Å, α = 90.00°, β = 90.00° and γ = 90.00°. The inequivalent atoms are La at (0.000, 0.000, 0.000), Ta at (0.000, 0.500, 0.500) and Sn at (0.500, 0.500, 0.500).

---

21.
The following is a DFT calculation (GGA-PBE) of La2TaSn2 after structural relaxation.

Its total magnetization is 2.3 Bohr magnetons per cell. The calculation puts the relative energy among the computed polymorphs at 0 meV/atom. As for the volume: 28.5 Å³/atom. Its final energy is -6.222 eV per atom. The formation energy is -1.40 eV per formula unit.

It has space group P4/mbm (No. 127), with a = 7.731 Å, b = 7.731 Å, c = 4.773 Å, α = 90.00°, β = 90.00° and γ = 90.00°. The inequivalent atoms are La at (0.173, 0.327, 0.000), Ta at (0.000, 0.000, 0.500) and Sn at (0.138, 0.638, 0.500).

---

22.
The following is a DFT calculation (GGA-PBE) of La3TaSn after structural relaxation.

Its total magnetization is 0.0 Bohr magnetons per cell. The calculation puts the relative energy among the computed polymorphs at 0 meV/atom. As for the volume: 34.2 Å³/atom. Its final energy is -5.888 eV per atom. The formation energy is 1.20 eV per formula unit.

It has space group Pm-3m (No. 221), with a = 5.549 Å, b = 5.549 Å, c = 5.549 Å, α = 90.00°, β = 90.00° and γ = 90.00°. The inequivalent atoms are La at (0.000, 0.000, 0.500), Ta at (0.000, 0.000, 0.000) and Sn at (0.500, 0.500, 0.500).

---

23.
The following is a DFT calculation (GGA-PBE) of LaTaSn3 after structural relaxation.

Its total magnetization is 0.0 Bohr magnetons per cell. As for the volume: 38.0 Å³/atom. Its final energy is -4.034 eV per atom. The formation energy is 8.62 eV per formula unit.

It has space group Pm-3m (No. 221), with a = 5.749 Å, b = 5.749 Å, c = 5.749 Å, α = 90.00°, β = 90.00° and γ = 90.00°. The inequivalent atoms are La at (0.000, 0.000, 0.000), Ta at (0.500, 0.500, 0.500) and Sn at (0.000, 0.000, 0.500).

---

24.
The following is a DFT calculation (GGA-PBE) of La2TaSn2 after structural relaxation.

Its total magnetization is 0.0 Bohr magnetons per cell. The calculation puts the relative energy among the computed polymorphs at 692 meV/atom. As for the volume: 26.9 Å³/atom. Its final energy is -5.530 eV per atom. The formation energy is 2.06 eV per formula unit.

It has space group I4/mmm (No. 139), with a = 4.217 Å, b = 4.217 Å, c = 15.136 Å, α = 90.00°, β = 90.00° and γ = 90.00°. The inequivalent atoms are La at (0.000, 0.500, 0.250), Ta at (0.000, 0.000, 0.000) and Sn at (0.000, 0.000, 0.412).

---

25.
The following is a DFT calculation (GGA-PBE) of La2TaTiSn after structural relaxation.

Its total magnetization is 0.0 Bohr magnetons per cell. As for the volume: 32.4 Å³/atom. Its final energy is -5.891 eV per atom. The formation energy is 4.15 eV per formula unit.

It has space group P4/mmm (No. 123), with a = 5.480 Å, b = 5.480 Å, c = 5.400 Å, α = 90.00°, β = 90.00° and γ = 90.00°. The inequivalent atoms are La at (0.000, 0.500, 0.000), Ta at (0.000, 0.000, 0.000), Ti at (0.500, 0.500, 0.500) and Sn at (0.000, 0.000, 0.500).

---

26.
The following is a DFT calculation (GGA-PBE) of LaTaSn2W after structural relaxation.

Its total magnetization is 0.8 Bohr magnetons per cell. As for the volume: 28.4 Å³/atom. Its final energy is -6.893 eV per atom. The formation energy is 3.27 eV per formula unit.

It has space group P4/mmm (No. 123), with a = 5.331 Å, b = 5.331 Å, c = 4.999 Å, α = 90.00°, β = 90.00° and γ = 90.00°. The inequivalent atoms are La at (0.000, 0.000, 0.000), Ta at (0.500, 0.500, 0.500), Sn at (0.000, 0.500, 0.500) and W at (0.500, 0.500, 0.000).

---

27.
The following is a DFT calculation (GGA-PBE) of La3Tb2Sn2 after structural relaxation.

Its total magnetization is 0.0 Bohr magnetons per cell. As for the volume: 32.6 Å³/atom. Its final energy is -4.897 eV per atom. The formation energy is -2.23 eV per formula unit.

It has space group C2/m (No. 12), with a = 17.664 Å, b = 3.548 Å, c = 8.068 Å, α = 90.00°, β = 115.60° and γ = 90.00°. The inequivalent atoms are La at (0.000, 0.000, 0.000), La at (0.219, 0.000, 0.219), Tb at (0.087, 0.000, 0.698) and Sn at (0.100, 0.500, 0.386).